Record 1
Density functional theory data (PBE) for a relaxed Nd3SmTl crystal.

**Calculated total energy**: -4.3788 eV/atom
**Crystal system**: monoclinic

Cell: 12.3907 5.6703 9.9993 Å, 90.00 109.00 90.00°
Space group C2/m (No. 12)
Inequivalent atoms, fractional coordinates:
Nd 0.1378 0.0000 0.1044
Nd 0.1549 0.5000 0.5307
Nd 0.2122 0.0000 0.7775
Sm 0.0472 0.5000 0.8517
Tl 0.0570 0.0000 0.3800

Record 2
Density functional theory data (PBE) for a relaxed TbYFe crystal.

**Calculated total energy**: -6.4457 eV/atom
**Crystal system**: tetragonal

Cell: 3.3403 3.3403 12.9007 Å, 90.00 90.00 90.00°
Space group I4mm (No. 107)
Inequivalent atoms, fractional coordinates:
Tb 0.0000 0.0000 0.0000
Y 0.0000 0.0000 0.2507
Fe 0.0000 0.0000 0.6245

Record 3
Density functional theory data (PBE) for a relaxed PaBe4 crystal.

**Calculated total energy**: -2.3118 eV/atom
**Crystal system**: cubic

Cell: 4.9069 4.9069 4.9069 Å, 90.00 90.00 90.00°
Space group Pm-3m (No. 221)
Inequivalent atoms, fractional coordinates:
Pa 0.0000 0.0000 0.0000
Be 0.0000 0.0000 0.5000
Be 0.5000 0.5000 0.5000

Record 4
Density functional theory data (PBE) for a relaxed YCu3H crystal.

**Calculated total energy**: -4.2319 eV/atom
**Crystal system**: cubic

Cell: 4.1170 4.1170 4.1170 Å, 90.00 90.00 90.00°
Space group Pm-3m (No. 221)
Inequivalent atoms, fractional coordinates:
Y 0.0000 0.0000 0.0000
Cu 0.0000 0.5000 0.5000
H 0.5000 0.5000 0.5000

Record 5
Density functional theory data (PBE) for a relaxed RhPbS crystal.

**Calculated total energy**: -5.2946 eV/atom
**Crystal system**: trigonal

Cell: 4.0072 4.0072 4.5173 Å, 90.00 90.00 120.00°
Space group P3m1 (No. 156)
Inequivalent atoms, fractional coordinates:
Rh 0.0000 0.0000 0.0000
Pb 0.3333 0.6667 0.4989
S 0.6667 0.3333 0.9993

Record 6
Density functional theory data (PBE) for a relaxed PmCoBC crystal.

**Calculated total energy**: -7.2337 eV/atom
**Crystal system**: tetragonal

Cell: 3.6611 3.6611 7.6930 Å, 90.00 90.00 90.00°
Space group P4/nmm (No. 129, origin choice 2)
Inequivalent atoms, fractional coordinates:
Pm 0.2500 0.2500 0.1714
Co 0.2500 0.7500 0.5000
B 0.2500 0.2500 0.6421
C 0.2500 0.2500 0.8394

Record 7
Density functional theory data (PBE) for a relaxed Pr4Tl2GaHg crystal.

**Calculated total energy**: -3.8309 eV/atom
**Crystal system**: trigonal

Cell: 5.4868 5.4868 26.7375 Å, 90.00 90.00 120.00°
Space group R-3m (No. 166, hexagonal axes)
Inequivalent atoms, fractional coordinates:
Pr 0.0000 0.0000 0.1208
Pr 0.0000 0.0000 0.3715
Tl 0.0000 0.0000 0.2457
Ga 0.0000 0.0000 0.0000
Hg 0.0000 0.0000 0.5000

Record 8
Density functional theory data (PBE) for a relaxed Cs2ZnHgF6 crystal.

**Calculated total energy**: -3.7123 eV/atom
**Crystal system**: cubic

Cell: 8.9307 8.9307 8.9307 Å, 90.00 90.00 90.00°
Space group Fm-3m (No. 225)
Inequivalent atoms, fractional coordinates:
Cs 0.2500 0.2500 0.2500
Zn 0.0000 0.0000 0.0000
Hg 0.0000 0.0000 0.5000
F 0.0000 0.0000 0.2347

Record 9
Density functional theory data (PBE) for a relaxed Ta6TiRu2 crystal.

**Calculated total energy**: -11.1110 eV/atom
**Crystal system**: monoclinic

Cell: 10.3327 3.2036 9.7685 Å, 90.00 109.48 90.00°
Space group C2/m (No. 12)
Inequivalent atoms, fractional coordinates:
Ta 0.0030 0.0000 0.3291
Ta 0.1697 0.5000 0.5619
Ta 0.1728 0.5000 0.8887
Ti 0.0000 0.0000 0.0000
Ru 0.1621 0.5000 0.2171

Record 10
Density functional theory data (PBE) for a relaxed NaPrHgCl6 crystal.

**Calculated total energy**: -3.5162 eV/atom
**Crystal system**: trigonal

Cell: 6.9800 6.9800 12.7257 Å, 90.00 90.00 120.00°
Space group P-31c (No. 163)
Inequivalent atoms, fractional coordinates:
Na 0.0000 0.0000 0.0000
Pr 0.3333 0.6667 0.2500
Hg 0.3333 0.6667 0.7500
Cl 0.0066 0.3511 0.6284

Record 11
Density functional theory data (PBE) for a relaxed DyTmGa3 crystal.

**Calculated total energy**: -4.2618 eV/atom
**Crystal system**: orthorhombic

Cell: 4.1395 25.4389 4.1506 Å, 90.00 90.00 90.00°
Space group Cmcm (No. 63)
Inequivalent atoms, fractional coordinates:
Dy 0.0000 0.0730 0.2500
Tm 0.0000 0.2045 0.7500
Ga 0.0000 0.3228 0.7500
Ga 0.0000 0.3799 0.2500
Ga 0.0000 0.4758 0.2500

Record 12
Density functional theory data (PBE) for a relaxed CaSi2Se crystal.

**Calculated total energy**: -4.7308 eV/atom
**Crystal system**: monoclinic

Cell: 4.1498 4.2835 9.9642 Å, 90.00 93.15 90.00°
Space group P2_1/m (No. 11)
Inequivalent atoms, fractional coordinates:
Ca 0.2488 0.2500 0.1525
Si 0.0863 0.7500 0.3914
Si 0.3365 0.2500 0.4567
Se 0.2500 0.2500 0.8502